Below is K4AlBr after structural relaxation, with properties calculated at the PBE level.

a = 7.447 Å, b = 7.447 Å, c = 7.447 Å
α = 60.00°, β = 60.00°, γ = 60.00°
Atoms (fractional coordinates):
K: 0.125 0.125 0.125
K: 0.125 0.125 0.625
K: 0.125 0.625 0.125
K: 0.625 0.125 0.125
Al: 0.750 0.750 0.750
Br: 0.500 0.500 0.500

The value obtained for the volume is 291.97 Å³/cell. Its density of states at the Fermi level is 5.5 states/eV per cell. The calculation puts the formation energy without anion corrections at 0.10 eV per atom.

---

Below is TaSbAuO6 after structural relaxation, with properties calculated at the PBE level.

a = 5.384 Å, b = 5.384 Å, c = 9.614 Å
α = 90.00°, β = 90.00°, γ = 120.00°
Atoms (fractional coordinates):
Ta: 0.333 0.667 0.250
Ta: 0.667 0.333 0.750
Sb: 0.333 0.667 0.750
Sb: 0.667 0.333 0.250
Au: 0.000 0.000 0.000
Au: 0.000 0.000 0.500
O: 0.001 0.370 0.138
O: 0.001 0.631 0.362
O: 0.369 0.370 0.362
O: 0.369 0.999 0.138
O: 0.370 0.001 0.638
O: 0.370 0.369 0.862
O: 0.630 0.631 0.138
O: 0.630 0.999 0.362
O: 0.631 0.001 0.862
O: 0.631 0.630 0.638
O: 0.999 0.369 0.638
O: 0.999 0.630 0.862

The value obtained for the volume is 241.32 Å³/cell. Its density of states at the Fermi level is 8.1 states/eV per cell. The calculation puts the formation energy without anion corrections at -1.44 eV per atom.

---

Below is Th6Ir3RuRh2 after structural relaxation, with properties calculated at the PBE level.

a = 9.184 Å, b = 9.184 Å, c = 8.235 Å
α = 102.97°, β = 102.97°, γ = 25.82°
Atoms (fractional coordinates):
Th: 0.001 0.001 0.254
Th: 0.334 0.334 0.916
Th: 0.336 0.336 0.420
Th: 0.664 0.664 0.580
Th: 0.666 0.666 0.084
Th: 0.999 0.999 0.746
Ir: 0.169 0.169 0.333
Ir: 0.500 0.500 0.000
Ir: 0.831 0.831 0.667
Ru: 0.500 0.500 0.500
Rh: 0.168 0.168 0.836
Rh: 0.832 0.832 0.164

The value obtained for the volume is 294.40 Å³/cell. The calculation puts the energy of formation from the pure elements at -0.85 eV/atom. Its density of states at the Fermi level is 5.8 states/eV per cell.

---

Below is La2Si4Br after structural relaxation, with properties calculated at the PBE level.

a = 8.504 Å, b = 8.504 Å, c = 8.504 Å
α = 146.63°, β = 146.63°, γ = 47.92°
Atoms (fractional coordinates):
La: 0.138 0.138 0.000
La: 0.862 0.862 0.000
Si: 0.000 0.500 0.500
Si: 0.330 0.330 0.000
Si: 0.500 0.000 0.500
Si: 0.670 0.670 0.000
Br: 0.500 0.500 0.000

The value obtained for the volume is 185.33 Å³/cell. Its density of states at the Fermi level is 6.3 states/eV per cell. The calculation puts the formation energy without anion corrections at 0.39 eV per atom.

---

Below is MgZn2Ni after structural relaxation, with properties calculated at the PBE level.

a = 3.068 Å, b = 3.068 Å, c = 6.234 Å
α = 90.00°, β = 90.00°, γ = 90.00°
Atoms (fractional coordinates):
Mg: 0.000 0.000 0.000
Zn: 0.000 0.000 0.452
Zn: 0.500 0.500 0.698
Ni: 0.500 0.500 0.252

The value obtained for the volume is 58.68 Å³/cell. The calculation puts the energy of formation from the pure elements at -0.14 eV/atom. Its density of states at the Fermi level is 1.4 states/eV per cell.

---

Below is TbMg2Co9 after structural relaxation, with properties calculated at the PBE level.

a = 8.344 Å, b = 8.344 Å, c = 8.344 Å
α = 34.09°, β = 34.09°, γ = 34.09°
Atoms (fractional coordinates):
Tb: 0.000 0.000 0.000
Mg: 0.143 0.143 0.143
Mg: 0.857 0.857 0.857
Co: 0.077 0.588 0.588
Co: 0.336 0.336 0.336
Co: 0.412 0.412 0.923
Co: 0.412 0.923 0.412
Co: 0.500 0.500 0.500
Co: 0.588 0.077 0.588
Co: 0.588 0.588 0.077
Co: 0.664 0.664 0.664
Co: 0.923 0.412 0.412

The value obtained for the volume is 162.68 Å³/cell. The calculation puts the energy of formation from the pure elements at -0.08 eV/atom. Its density of states at the Fermi level is 14.0 states/eV per cell.

---

Below is CaSm3Pb5 after structural relaxation, with properties calculated at the PBE level.

a = 9.664 Å, b = 9.664 Å, c = 6.671 Å
α = 90.00°, β = 90.00°, γ = 120.00°
Atoms (fractional coordinates):
Ca: 0.000 0.000 0.000
Ca: 0.000 0.000 0.500
Sm: 0.000 0.378 0.250
Sm: 0.000 0.622 0.750
Sm: 0.378 0.000 0.250
Sm: 0.378 0.378 0.750
Sm: 0.622 0.000 0.750
Sm: 0.622 0.622 0.250
Pb: 0.000 0.294 0.750
Pb: 0.000 0.706 0.250
Pb: 0.294 0.000 0.750
Pb: 0.294 0.294 0.250
Pb: 0.333 0.667 0.000
Pb: 0.333 0.667 0.500
Pb: 0.667 0.333 0.000
Pb: 0.667 0.333 0.500
Pb: 0.706 0.000 0.250
Pb: 0.706 0.706 0.750

The value obtained for the volume is 539.62 Å³/cell. The calculation puts the energy of formation from the pure elements at -0.43 eV/atom. Its density of states at the Fermi level is 17.2 states/eV per cell.

---

Below is LiMnAsIr after structural relaxation, with properties calculated at the PBE level.

a = 4.303 Å, b = 4.303 Å, c = 4.303 Å
α = 60.00°, β = 60.00°, γ = 60.00°
Atoms (fractional coordinates):
Li: 0.000 0.000 0.000
Mn: 0.750 0.750 0.750
As: 0.250 0.250 0.250
Ir: 0.500 0.500 0.500

The value obtained for the volume is 56.33 Å³/cell. The calculation puts the energy of formation from the pure elements at -0.27 eV/atom. Its density of states at the Fermi level is 1.2 states/eV per cell.

---

Below is CeTc2H7 after structural relaxation, with properties calculated at the PBE level.

a = 5.228 Å, b = 5.228 Å, c = 3.565 Å
α = 90.00°, β = 90.00°, γ = 117.42°
Atoms (fractional coordinates):
Ce: 0.000 0.000 0.000
Tc: 0.306 0.694 0.500
Tc: 0.694 0.306 0.500
H: 0.045 0.318 0.500
H: 0.275 0.725 0.000
H: 0.318 0.045 0.500
H: 0.500 0.500 0.500
H: 0.682 0.955 0.500
H: 0.725 0.275 0.000
H: 0.955 0.682 0.500

The uncorrected energy is -5.1228 eV/atom. The value obtained for the volume is 86.49 Å³/cell. Its density of states at the Fermi level is 5.8 states/eV per cell.

---

Below is YSc2Mo after structural relaxation, with properties calculated at the PBE level.

a = 3.176 Å, b = 4.639 Å, c = 6.332 Å
α = 90.00°, β = 104.16°, γ = 90.00°
Atoms (fractional coordinates):
Y: 0.000 0.000 0.000
Sc: 0.329 0.500 0.714
Sc: 0.671 0.500 0.286
Mo: 0.500 0.000 0.500

As for the energy above the most stable polymorph in this dataset: 77 meV/atom. The value obtained for the volume is 90.48 Å³/cell. The calculation puts the energy of formation from the pure elements at 0.22 eV/atom. Its density of states at the Fermi level is 5.1 states/eV per cell.

---

Below is KYSc2Fe after structural relaxation, with properties calculated at the PBE level.

a = 5.070 Å, b = 5.070 Å, c = 5.383 Å
α = 90.00°, β = 90.00°, γ = 90.00°
Atoms (fractional coordinates):
K: 0.000 0.000 0.000
Y: 0.500 0.500 0.000
Sc: 0.000 0.500 0.500
Sc: 0.500 0.000 0.500
Fe: 0.500 0.500 0.500

The value obtained for the volume is 138.35 Å³/cell. The calculation puts the energy of formation from the pure elements at 0.27 eV/atom. Its density of states at the Fermi level is 2.6 states/eV per cell.

---

Below is La2Ho3Zn2 after structural relaxation, with properties calculated at the PBE level.

a = 15.383 Å, b = 15.383 Å, c = 3.560 Å
α = 90.00°, β = 90.00°, γ = 166.37°
Atoms (fractional coordinates):
La: 0.200 0.800 0.000
La: 0.800 0.200 0.000
Ho: 0.080 0.920 0.000
Ho: 0.500 0.500 0.500
Ho: 0.920 0.080 0.000
Zn: 0.366 0.634 0.500
Zn: 0.634 0.366 0.500

The value obtained for the volume is 198.52 Å³/cell. The calculation puts the energy of formation from the pure elements at -0.14 eV/atom. Its density of states at the Fermi level is 8.3 states/eV per cell.

---

Below is NbSe2Cl after structural relaxation, with properties calculated at the PBE level.

a = 6.448 Å, b = 5.951 Å, c = 10.621 Å
α = 90.00°, β = 90.00°, γ = 90.00°
Atoms (fractional coordinates):
Nb: 0.250 0.000 0.064
Nb: 0.250 0.500 0.436
Nb: 0.750 0.000 0.936
Nb: 0.750 0.500 0.564
Se: 0.072 0.250 0.588
Se: 0.072 0.250 0.912
Se: 0.428 0.750 0.588
Se: 0.428 0.750 0.912
Se: 0.572 0.250 0.088
Se: 0.572 0.250 0.412
Se: 0.928 0.750 0.088
Se: 0.928 0.750 0.412
Cl: 0.111 0.250 0.250
Cl: 0.389 0.750 0.250
Cl: 0.611 0.250 0.750
Cl: 0.889 0.750 0.750

As for the energy above the most stable polymorph in this dataset: 0 meV/atom. The value obtained for the volume is 407.55 Å³/cell. Its density of states at the Fermi level is 0.1 states/eV per cell. The calculation puts the formation energy without anion corrections at -0.77 eV per atom.